KCaTaS4: optimized geometry, PBE-GGA.

Summary:
M_tot ... 0.000 μB/cell
Formation energy from raw total energies ... -135.8 kJ per mole of atoms
VASP energy ... -82.63 eV for the cell shown

Unit cell a=6.8218 b=6.9899 c=8.7795 alpha=90.00 beta=106.89 gamma=90.00
Space group P2_1/m (No. 11)
Asymmetric unit:
K (0.2379, 0.2500, 0.4375) x2
Ca (0.2811, 0.2500, 0.9507) x2
Ta (0.2654, 0.7500, 0.1740) x2
S (0.0611, 0.7500, 0.3382) x2
S (0.0650, 0.7500, 0.9190) x2
S (0.4884, 0.0036, 0.2156) x4